No. 1
# LiNp2Si3Ir4 | the Alexandria database | PBE-GGA | relaxed
# * ΔE_f (raw): -642 meV per atom
# * raw total energy: -8.59 eV per atom
data_LiNp2Si3Ir4
_chemical_formula_sum 'Li1 Np2 Si3 Ir4'
_cell_length_a 4.031
_cell_length_b 4.031
_cell_length_c 10.344
_cell_angle_alpha 90.00
_cell_angle_beta 90.00
_cell_angle_gamma 90.00
_symmetry_space_group_name_H-M 'P -4 m 2'
_symmetry_Int_Tables_number 115
loop_
_symmetry_equiv_pos_as_xyz
'x,y,z'
'y,-x,-z'
'-x,-y,z'
'-y,x,-z'
'-x,y,z'
'-y,-x,-z'
'x,-y,z'
'y,x,-z'
loop_
_atom_site_label
_atom_site_fract_x
_atom_site_fract_y
_atom_site_fract_z
Li1 0.000 0.000 0.000
Np1 0.000 0.500 0.758
Si1 0.000 0.500 0.374
Si2 0.500 0.500 0.000
Ir1 0.000 0.000 0.500
Ir2 0.000 0.500 0.144
Ir3 0.500 0.500 0.500

No. 2
# TbTlO3 | the Alexandria database | PBE-GGA | relaxed
# * ΔE_f (raw): -2072 meV per atom
# * raw total energy: -6.45 eV per atom
data_TbTlO3
_chemical_formula_sum 'Tb4 Tl4 O12'
_cell_length_a 3.601
_cell_length_b 14.173
_cell_length_c 5.926
_cell_angle_alpha 90.00
_cell_angle_beta 90.00
_cell_angle_gamma 90.00
_symmetry_space_group_name_H-M 'C m c m'
_symmetry_Int_Tables_number 63
_symmetry_space_group_name_Hall '-C 2c 2'
loop_
_atom_site_label
_atom_site_fract_x
_atom_site_fract_y
_atom_site_fract_z
Tb1 0.000 0.193 0.250
Tl1 0.000 0.441 0.250
O1 0.000 0.027 0.250
O2 0.000 0.326 0.000

No. 3
# AcNdMgSc | the Alexandria database | PBE-GGA | relaxed
# * energy of formation: 0.17 eV per formula unit
# * raw total energy: -4.16 eV per atom
data_AcNdMgSc
_chemical_formula_sum 'Ac4 Nd4 Mg4 Sc4'
_cell_length_a 7.989
_cell_length_b 7.989
_cell_length_c 7.989
_cell_angle_alpha 90.00
_cell_angle_beta 90.00
_cell_angle_gamma 90.00
_symmetry_space_group_name_H-M 'F -4 3 m'
_symmetry_Int_Tables_number 216
_symmetry_space_group_name_Hall 'F -4 2 3'
loop_
_atom_site_label
_atom_site_fract_x
_atom_site_fract_y
_atom_site_fract_z
Ac1 0.000 0.000 0.000
Nd1 0.000 0.000 0.500
Mg1 0.250 0.250 0.750
Sc1 0.250 0.250 0.250

No. 4
# RbCa2CrGe | the Alexandria database | PBE-GGA | relaxed
# * energy of formation: 7.61 eV per formula unit
# * raw total energy: -2.32 eV per atom
data_RbCa2CrGe
_chemical_formula_sum 'Rb1 Ca2 Cr1 Ge1'
_cell_length_a 5.936
_cell_length_b 5.936
_cell_length_c 5.215
_cell_angle_alpha 90.00
_cell_angle_beta 90.00
_cell_angle_gamma 90.00
_symmetry_space_group_name_H-M 'P 4/m m m'
_symmetry_Int_Tables_number 123
_symmetry_space_group_name_Hall '-P 4 2'
loop_
_atom_site_label
_atom_site_fract_x
_atom_site_fract_y
_atom_site_fract_z
Rb1 0.000 0.000 0.000
Ca1 0.000 0.500 0.000
Cr1 0.000 0.000 0.500
Ge1 0.500 0.500 0.500

No. 5
# Pm4Ag2Pt | the Alexandria database | PBE-GGA | relaxed
# * distance to the lowest polymorph of the same formula: 0 meV per atom
# * energy of formation: -3.06 eV per formula unit
# * raw total energy: -4.83 eV per atom
data_Pm4Ag2Pt
_chemical_formula_sum 'Pm8 Ag4 Pt2'
_cell_length_a 5.101
_cell_length_b 5.101
_cell_length_c 14.703
_cell_angle_alpha 90.00
_cell_angle_beta 90.00
_cell_angle_gamma 90.00
_symmetry_space_group_name_H-M 'I 4/m m m'
_symmetry_Int_Tables_number 139
_symmetry_space_group_name_Hall '-I 4 2'
loop_
_atom_site_label
_atom_site_fract_x
_atom_site_fract_y
_atom_site_fract_z
Pm1 0.000 0.500 0.117
Ag1 0.000 0.000 0.243
Pt1 0.000 0.000 0.500

No. 6
# Ca3Ac3TbTe8 | the Alexandria database | PBE-GGA | relaxed
# * ΔE_f (raw): -1547 meV per atom
# * raw total energy: -4.75 eV per atom
data_Ca3Ac3TbTe8
_chemical_formula_sum 'Ca9 Ac9 Tb3 Te24'
_cell_length_a 9.2390
_cell_length_b 9.2390
_cell_length_c 22.4348
_cell_angle_alpha 90.00
_cell_angle_beta 90.00
_cell_angle_gamma 120.00
_symmetry_space_group_name_H-M 'R -3 m'
_symmetry_Int_Tables_number 166
_symmetry_space_group_name_Hall '-R 3 2"'
loop_
_atom_site_label
_atom_site_fract_x
_atom_site_fract_y
_atom_site_fract_z
Ca1 0.0000 0.5000 0.0000
Ac1 0.0000 0.5000 0.5000
Tb1 0.0000 0.0000 0.5000
Te1 0.0000 0.0000 0.2561
Te2 0.0168 0.5084 0.2508

Q: Look up the raw total energy of the first one.
A: -8.59 eV per atom